Entry from Alexandria via LeMat-Bulk: an optimized crystal structure of La5PmSi4 (PBE).

The value obtained for the uncorrected formation energy is -5.2 eV/f.u. For the mass density, the calculation gives 5.4 g cm⁻³. The value obtained for the energy is -0.2067 Ha/atom.

The space group is C2/m (No. 12) and the conventional cell measures 15.8161, 5.2115 and 7.0672 Å, with angles of 90.00, 91.06 and 90.00 degrees. The distinct sites, in fractional coordinates, are La at (0.0000, 0.0000, 0.0000), La at (0.1625, 0.5000, 0.9969), La at (0.1673, 0.5000, 0.5141), Pm at (0.0000, 0.0000, 0.5000), Si at (0.0087, 0.5000, 0.2616) and Si at (0.1752, 0.0000, 0.7516).